A relaxed structure of LiErHf2N4. Source: the Alexandria database, functional PBE-GGA.

Geometry as POSCAR:
```
LiErHf2N4
1.0
-2.690 -0.941 -1.507
2.613 -4.582 1.645
-5.426 0.311 9.490
N Hf Er Li
8 4 2 2
Cartesian
-4.076 -2.658 5.486
0.000 0.000 0.000
-2.930 -4.306 7.918
0.057 -2.639 1.547
-2.713 0.156 4.745
-1.427 -2.554 4.142
-2.573 -0.905 1.709
-5.559 -2.573 8.081
-4.176 -3.414 9.585
-3.401 -1.679 3.670
-2.102 -3.533 5.957
-1.326 -1.798 0.042
-1.706 -4.356 2.318
-3.796 -0.855 7.309
-0.961 -1.496 2.650
-4.541 -3.716 6.977
```

## Properties
* theoretical density: 10.5 g/cm3
* size of the total moment: 0.0 μB/cell
* electronic total energy: -144.48 eV per cell

A relaxed structure of LiCuNi2. Source: the Alexandria database, functional PBE-GGA.

Geometry as POSCAR:
```
LiCuNi2
1.0
-3.082 6.085 5.069
-3.559 4.114 6.529
-1.310 5.200 6.593
Li Ni Cu
1 2 1
Cartesian
-5.964 11.549 13.644
-7.948 15.391 18.182
-3.980 7.707 9.105
-1.988 3.850 4.548
```

## Properties
* theoretical density: 6.9 g/cm3
* size of the total moment: 0.0 μB/cell
* energy relative to the elements: -0.0188 eV/atom

A relaxed structure of Cr2Tc. Source: the Alexandria database, functional PBE-GGA.

Geometry as POSCAR:
```
Cr2Tc
1.0
-2.848 2.848 2.540
2.848 -2.848 2.540
2.848 2.848 -2.540
Cr Tc
4 2
Cartesian
3.655 0.807 0.000
2.041 0.807 2.540
0.807 2.041 0.000
-0.807 2.041 2.540
0.000 0.000 3.809
0.000 0.000 1.270
```

## Properties
* theoretical density: 8.1 g/cm3
* size of the total moment: 0.0 μB/cell
* energy above the most stable polymorph in this dataset: 516 meV per atom
* energy relative to the elements: 0.5398 eV/atom

A relaxed structure of KSb2Te. Source: the Alexandria database, functional PBE-GGA.

Geometry as POSCAR:
```
KSb2Te
1.0
-1.819 -6.324 -0.563
4.216 -4.650 2.054
-3.399 5.357 1.834
Sb Te K
2 1 1
Cartesian
2.316 -10.605 1.441
1.279 -5.856 0.796
-2.010 -3.227 1.008
1.007 -2.390 2.317
```

## Properties
* theoretical density: 5.5 g/cm3
* size of the total moment: 0.0 μB/cell
* electronic total energy: -13.17 eV per cell

A relaxed structure of Tm2PaIO8. Source: the Alexandria database, functional PBE-GGA.

Geometry as POSCAR:
```
Tm2PaIO8
1.0
5.038 -0.087 -0.003
-0.069 5.035 -0.006
0.004 0.008 6.924
O I Tm Pa
8 1 2 1
Cartesian
0.890 4.077 5.243
3.469 3.460 3.456
1.468 1.462 6.921
4.083 0.878 1.672
1.504 1.496 3.460
3.505 3.493 -0.006
0.889 4.074 1.671
4.085 0.882 5.245
0.000 0.000 0.000
2.485 2.476 1.692
2.488 2.480 5.223
0.002 0.004 3.462
```

## Properties
* theoretical density: 7.8 g/cm3
* size of the total moment: 0.0 μB/cell
* electronic total energy: -91.34 eV per cell

A relaxed structure of Pu5CdRu6. Source: the Alexandria database, functional PBE-GGA.

Geometry as POSCAR:
```
Pu5CdRu6
1.0
-0.647 4.548 -1.026
3.790 -0.706 -5.521
-7.400 -3.604 -0.513
Ru Pu Cd
6 5 1
Cartesian
-0.990 -0.747 -2.687
-5.116 1.330 -1.679
0.703 2.083 -2.008
-3.266 0.985 -4.373
2.441 1.759 -4.539
0.860 -1.091 -5.381
-2.124 1.754 -1.683
-3.815 -1.101 -2.478
-0.442 1.340 -4.582
-2.132 -1.516 -5.377
1.895 -0.353 -2.760
0.000 0.000 0.000
```

## Properties
* theoretical density: 14.2 g/cm3
* size of the total moment: 21.0 μB/cell
* energy relative to the elements: -0.1132 eV/atom